[1]
BaVOsO6: optimized geometry, GGA+U.

a = 5.260 Å, b = 9.057 Å, c = 5.734 Å
α = 90.00°, β = 90.13°, γ = 90.00°
Space group C2 (No. 5)
Inequivalent atoms, fractional coordinates:
Ba: 0.000 0.000 0.000 (multiplicity 2)
V: 0.000 0.668 0.500 (multiplicity 2)
Os: 0.000 0.333 0.500 (multiplicity 2)
O: 0.110 0.501 0.689 (multiplicity 4)
O: 0.195 0.803 0.689 (multiplicity 4)
O: 0.196 0.195 0.689 (multiplicity 4)

Summary:
- Fermi-level density of states: 0.035 states/eV per atom
- Raw total energy: -7.400 eV per atom

[2]
BaV2OsO8: optimized geometry, GGA+U.

a = 5.6050 Å, b = 5.6050 Å, c = 7.2853 Å
α = 90.00°, β = 90.00°, γ = 120.00°
Space group P-3m1 (No. 164)
Inequivalent atoms, fractional coordinates:
Ba: 0.0000 0.0000 0.0000 (multiplicity 1)
V: 0.3333 0.6667 0.7391 (multiplicity 2)
Os: 0.0000 0.0000 0.5000 (multiplicity 1)
O: 0.1600 0.3200 0.6649 (multiplicity 6)
O: 0.3333 0.6667 0.9705 (multiplicity 2)

Summary:
- Fermi-level density of states: 0.276 states/eV per atom
- Raw total energy: -7.509 eV per atom